<w>
Compound: MnOs3C
Source: the Alexandria database
Functional: PBE-GGA
Structure: relaxed

Lattice parameters (Å, degrees): 4.0396 4.0396 4.0396 90.00 90.00 90.00
Positions (direct):
C: 0.0000 0.0000 0.0000
Mn: 0.5000 0.5000 0.5000
Os: 0.0000 0.5000 0.0000
Os: 0.0000 0.0000 0.5000
Os: 0.5000 0.0000 0.0000

- symmetry = No. 221
- D(E_F) (states/eV/f.u.) = 2.823
- crystal system = cubic

***

<x>
Compound: MnOs3C
Source: the Alexandria database
Functional: PBE-GGA
Structure: relaxed

Lattice parameters (Å, degrees): 4.3921 4.3921 4.3921 90.00 90.00 90.00
Positions (direct):
C: 0.5000 0.5000 0.5000
Mn: 0.0000 0.0000 0.0000
Os: 0.0000 0.5000 0.0000
Os: 0.0000 0.0000 0.5000
Os: 0.5000 0.0000 0.0000

- symmetry = No. 221
- D(E_F) (states/eV/f.u.) = 5.563
- crystal system = cubic

***

Most stable structure, least stable structure: <w>, <x>.

***

<w>
Compound: Ta2MnOsC
Source: the Alexandria database
Functional: PBE-GGA
Structure: relaxed

Lattice parameters (Å, degrees): 4.9504 3.7598 4.9504 90.00 90.00 90.00
Positions (direct):
C: 0.0000 0.5000 0.0000
Mn: 0.5000 0.5000 0.5000
Os: 0.0000 0.0000 0.0000
Ta: 0.0000 0.0000 0.5000
Ta: 0.5000 0.0000 0.0000

- symmetry = No. 123
- D(E_F) (states/eV/f.u.) = 6.295
- crystal system = tetragonal

***

<x>
Compound: Ta2MnOsC
Source: the Alexandria database
Functional: PBE-GGA
Structure: relaxed

Lattice parameters (Å, degrees): 4.3174 4.3174 3.6846 90.00 90.00 90.00
Positions (direct):
C: 0.0000 0.0000 0.0000
Mn: 0.0000 0.0000 0.5000
Os: 0.5000 0.5000 0.5000
Ta: 0.0000 0.5000 0.0000
Ta: 0.5000 0.0000 0.0000

- symmetry = No. 123
- D(E_F) (states/eV/f.u.) = 5.396
- crystal system = tetragonal

***

Most stable structure, least stable structure: <x>, <w>.

***

<w>
Compound: MnPC3
Source: the Alexandria database
Functional: PBE-GGA
Structure: relaxed

Lattice parameters (Å, degrees): 3.7982 3.7982 3.7982 90.00 90.00 90.00
Positions (direct):
P: 0.5000 0.5000 0.5000
C: 0.0000 0.5000 0.0000
C: 0.0000 0.0000 0.5000
C: 0.5000 0.0000 0.0000
Mn: 0.0000 0.0000 0.0000

- symmetry = No. 221
- D(E_F) (states/eV/f.u.) = 3.222
- crystal system = cubic

***

<x>
Compound: MnPC3
Source: the Alexandria database
Functional: PBE-GGA
Structure: relaxed

Lattice parameters (Å, degrees): 3.5780 3.5780 3.5780 90.00 90.00 90.00
Positions (direct):
P: 0.0000 0.0000 0.0000
C: 0.0000 0.5000 0.0000
C: 0.0000 0.0000 0.5000
C: 0.5000 0.0000 0.0000
Mn: 0.5000 0.5000 0.5000

- symmetry = No. 221
- D(E_F) (states/eV/f.u.) = 5.235
- crystal system = cubic

***

Most stable structure, least stable structure: <w>, <x>.

***

<w>
Compound: MnPC
Source: the Alexandria database
Functional: PBE-GGA
Structure: relaxed

Lattice parameters (Å, degrees): 2.7362 3.3181 4.1795 76.79 70.96 65.80
Positions (direct):
P: 0.4588 0.8564 0.7202
C: 0.4919 0.4468 0.0638
Mn: 0.0931 0.0447 0.2624

- symmetry = No. 1
- D(E_F) (states/eV/f.u.) = 0.999
- crystal system = triclinic

***

<x>
Compound: MnPC
Source: the Alexandria database
Functional: PBE-GGA
Structure: relaxed

Lattice parameters (Å, degrees): 2.7385 2.7012 3.9309 90.00 90.00 90.00
Positions (direct):
P: 0.0000 0.0000 0.7324
C: 0.0000 0.5000 0.0476
Mn: 0.5000 0.0000 0.2664

- symmetry = No. 25
- D(E_F) (states/eV/f.u.) = 2.068
- crystal system = orthorhombic

***

Most stable structure, least stable structure: <w>, <x>.

***

<w>
Compound: MnP2CS
Source: the Alexandria database
Functional: PBE-GGA
Structure: relaxed

Lattice parameters (Å, degrees): 4.4055 4.4055 4.1646 90.00 90.00 90.00
Positions (direct):
P: 0.0000 0.5000 0.0000
P: 0.5000 0.0000 0.0000
S: 0.0000 0.0000 0.5000
Mn: 0.0000 0.0000 0.0000
C: 0.5000 0.5000 0.5000

- symmetry = No. 123
- D(E_F) (states/eV/f.u.) = 4.443
- crystal system = tetragonal

***

<x>
Compound: MnP2CS
Source: the Alexandria database
Functional: PBE-GGA
Structure: relaxed

Lattice parameters (Å, degrees): 4.0117 4.0117 4.1707 90.00 90.00 90.00
Positions (direct):
P: 0.0000 0.5000 0.0000
P: 0.5000 0.0000 0.0000
S: 0.0000 0.0000 0.5000
Mn: 0.5000 0.5000 0.5000
C: 0.0000 0.0000 0.0000

- symmetry = No. 123
- D(E_F) (states/eV/f.u.) = 1.396
- crystal system = tetragonal

***

Most stable structure, least stable structure: <x>, <w>.

***

<w>
Compound: MnPCS2
Source: the Alexandria database
Functional: PBE-GGA
Structure: relaxed

Lattice parameters (Å, degrees): 3.9926 3.9926 3.8788 90.00 90.00 90.00
Positions (direct):
P: 0.0000 0.0000 0.5000
S: 0.0000 0.5000 0.0000
S: 0.5000 0.0000 0.0000
Mn: 0.5000 0.5000 0.5000
C: 0.0000 0.0000 0.0000

- symmetry = No. 123
- D(E_F) (states/eV/f.u.) = 6.484
- crystal system = tetragonal

***

<x>
Compound: MnPCS2
Source: the Alexandria database
Functional: PBE-GGA
Structure: relaxed

Lattice parameters (Å, degrees): 4.4231 4.4231 4.4809 90.00 90.00 90.00
Positions (direct):
P: 0.0000 0.0000 0.5000
S: 0.0000 0.5000 0.0000
S: 0.5000 0.0000 0.0000
Mn: 0.0000 0.0000 0.0000
C: 0.5000 0.5000 0.5000

- symmetry = No. 123
- D(E_F) (states/eV/f.u.) = 3.203
- crystal system = tetragonal

***

Most stable structure, least stable structure: <w>, <x>.

***

<w>
Compound: PaMnC2
Source: the Alexandria database
Functional: PBE-GGA
Structure: relaxed

Lattice parameters (Å, degrees): 3.3193 5.5455 10.5300 90.00 90.00 90.00
Positions (direct):
Pa: 0.7500 0.0820 0.1431
Pa: 0.2500 0.9180 0.8569
Pa: 0.7500 0.5820 0.3569
Pa: 0.2500 0.4180 0.6431
Mn: 0.2500 0.5803 0.0957
Mn: 0.2500 0.0803 0.4043
Mn: 0.7500 0.4197 0.9043
Mn: 0.7500 0.9197 0.5957
C: 0.7500 0.2133 0.4853
C: 0.2500 0.7867 0.5147
C: 0.7500 0.7133 0.0147
C: 0.2500 0.2867 0.9853
C: 0.7500 0.1634 0.7519
C: 0.2500 0.3366 0.2519
C: 0.7500 0.6634 0.7481
C: 0.2500 0.8366 0.2481

- symmetry = No. 62
- D(E_F) (states/eV/f.u.) = 2.605
- crystal system = orthorhombic

***

<x>
Compound: PaMnC2
Source: the Alexandria database
Functional: PBE-GGA
Structure: relaxed

Lattice parameters (Å, degrees): 3.3267 3.3267 5.3955 72.04 72.04 60.00
Positions (direct):
C: 0.2673 0.2673 0.1982
C: 0.7327 0.7327 0.8018
Pa: 0.5000 0.5000 0.5000
Mn: 0.0000 0.0000 0.0000

- symmetry = No. 166
- D(E_F) (states/eV/f.u.) = 1.629
- crystal system = trigonal

***

Most stable structure, least stable structure: <w>, <x>.

***

<w>
Compound: MnPbC3
Source: the Alexandria database
Functional: PBE-GGA
Structure: relaxed

Lattice parameters (Å, degrees): 3.9256 3.9256 3.9256 90.00 90.00 90.00
Positions (direct):
Pb: 0.5000 0.5000 0.5000
C: 0.0000 0.5000 0.0000
C: 0.0000 0.0000 0.5000
C: 0.5000 0.0000 0.0000
Mn: 0.0000 0.0000 0.0000

- symmetry = No. 221
- D(E_F) (states/eV/f.u.) = 4.895
- crystal system = cubic

***

<x>
Compound: MnPbC3
Source: the Alexandria database
Functional: PBE-GGA
Structure: relaxed

Lattice parameters (Å, degrees): 4.3652 4.3652 4.3652 90.00 90.00 90.00
Positions (direct):
Pb: 0.0000 0.0000 0.0000
C: 0.0000 0.5000 0.0000
C: 0.0000 0.0000 0.5000
C: 0.5000 0.0000 0.0000
Mn: 0.5000 0.5000 0.5000

- symmetry = No. 221
- D(E_F) (states/eV/f.u.) = 4.399
- crystal system = cubic

***

Most stable structure, least stable structure: <w>, <x>.

***

<w>
Compound: MnPdC
Source: the Alexandria database
Functional: PBE-GGA
Structure: relaxed

Lattice parameters (Å, degrees): 2.7812 5.3935 9.0805 90.00 90.00 90.00
Positions (direct):
C: 0.0000 0.0000 0.4380
C: 0.5000 0.5000 0.9380
C: 0.0000 0.5000 0.3632
C: 0.5000 0.0000 0.8632
Mn: 0.0000 0.2566 0.8658
Mn: 0.0000 0.7434 0.8658
Mn: 0.5000 0.7566 0.3658
Mn: 0.5000 0.2434 0.3658
Pd: 0.0000 0.5000 0.6036
Pd: 0.5000 0.0000 0.1036
Pd: 0.0000 0.5000 0.1277
Pd: 0.5000 0.0000 0.6277

- symmetry = No. 44
- D(E_F) (states/eV/f.u.) = 1.501
- crystal system = orthorhombic

***

<x>
Compound: MnPdC
Source: the Alexandria database
Functional: PBE-GGA
Structure: relaxed

Lattice parameters (Å, degrees): 2.6925 10.3067 4.7354 90.00 90.00 90.00
Positions (direct):
C: 0.0000 0.9482 0.7801
C: 0.0000 0.0518 0.2801
C: 0.5000 0.4482 0.7801
C: 0.5000 0.5518 0.2801
Mn: 0.0000 0.5582 0.9755
Mn: 0.0000 0.4418 0.4755
Mn: 0.5000 0.0582 0.9755
Mn: 0.5000 0.9418 0.4755
Pd: 0.0000 0.7037 0.4480
Pd: 0.0000 0.2963 0.9480
Pd: 0.5000 0.2037 0.4480
Pd: 0.5000 0.7963 0.9480

- symmetry = No. 36
- D(E_F) (states/eV/f.u.) = 2.022
- crystal system = orthorhombic

***

<y>
Compound: MnPdC
Source: the Alexandria database
Functional: PBE-GGA
Structure: relaxed

Lattice parameters (Å, degrees): 2.8448 2.8448 4.2324 90.00 90.00 90.00
Positions (direct):
C: 0.0000 0.0000 0.4081
Mn: 0.5000 0.5000 0.4077
Pd: 0.0000 0.0000 0.9079

- symmetry = No. 123
- D(E_F) (states/eV/f.u.) = 1.897
- crystal system = tetragonal

***

<z>
Compound: MnPdC
Source: the Alexandria database
Functional: PBE-GGA
Structure: relaxed

Lattice parameters (Å, degrees): 2.8391 2.7327 8.5269 90.00 90.00 90.00
Positions (direct):
C: 0.0000 0.0000 0.9029
C: 0.0000 0.5000 0.4029
Mn: 0.5000 0.0000 0.3581
Mn: 0.5000 0.5000 0.8581
Pd: 0.0000 0.0000 0.6258
Pd: 0.0000 0.5000 0.1258

- symmetry = No. 38
- D(E_F) (states/eV/f.u.) = 1.645
- crystal system = orthorhombic

***

Most stable structure, least stable structure: <y>, <x>.

***

<w>
Compound: Pm2MnC2
Source: the Alexandria database
Functional: PBE-GGA
Structure: relaxed

Lattice parameters (Å, degrees): 5.2569 6.1929 6.7697 118.55 90.00 115.11
Positions (direct):
Pm: 0.6834 0.3668 0.6224
Pm: 0.3166 0.6332 0.3776
Pm: 0.0422 0.0844 0.7911
Pm: 0.9578 0.9156 0.2089
Mn: 0.3708 0.7416 0.8681
Mn: 0.6292 0.2584 0.1319
C: 0.1910 0.3820 0.6219
C: 0.8090 0.6180 0.3781
C: 0.4888 0.9775 0.2014
C: 0.5112 0.0225 0.7986

- symmetry = No. 12
- D(E_F) (states/eV/f.u.) = 1.754
- crystal system = monoclinic

***

<x>
Compound: Pm2MnC2
Source: the Alexandria database
Functional: PBE-GGA
Structure: relaxed

Lattice parameters (Å, degrees): 6.2833 6.2075 8.0782 90.00 101.71 90.00
Positions (direct):
Pm: 0.5273 0.2702 0.0732
Pm: 0.0273 0.2298 0.0732
Pm: 0.9727 0.7702 0.9268
Pm: 0.4727 0.7298 0.9268
Pm: 0.9075 0.6101 0.3241
Pm: 0.4075 0.8899 0.3241
Pm: 0.5925 0.1101 0.6759
Pm: 0.0925 0.3899 0.6759
Mn: 0.3558 0.4148 0.3900
Mn: 0.6442 0.5852 0.6100
Mn: 0.8558 0.0852 0.3900
Mn: 0.1442 0.9148 0.6100
C: 0.7472 0.9468 0.1752
C: 0.2472 0.5532 0.1752
C: 0.7528 0.4468 0.8248
C: 0.2528 0.0532 0.8248
C: 0.6564 0.3224 0.4305
C: 0.1564 0.1776 0.4305
C: 0.8436 0.8224 0.5695
C: 0.3436 0.6776 0.5695

- symmetry = No. 14
- D(E_F) (states/eV/f.u.) = 2.758
- crystal system = monoclinic

***

Most stable structure, least stable structure: <w>, <x>.

***

<w>
Compound: MnPtC3
Source: the Alexandria database
Functional: PBE-GGA
Structure: relaxed

Lattice parameters (Å, degrees): 3.7655 3.7655 3.7655 90.00 90.00 90.00
Positions (direct):
C: 0.0000 0.5000 0.0000
C: 0.0000 0.0000 0.5000
C: 0.5000 0.0000 0.0000
Mn: 0.0000 0.0000 0.0000
Pt: 0.5000 0.5000 0.5000

- symmetry = No. 221
- D(E_F) (states/eV/f.u.) = 1.552
- crystal system = cubic

***

<x>
Compound: MnPtC3
Source: the Alexandria database
Functional: PBE-GGA
Structure: relaxed

Lattice parameters (Å, degrees): 3.9575 3.9575 3.9575 90.00 90.00 90.00
Positions (direct):
C: 0.0000 0.5000 0.0000
C: 0.0000 0.0000 0.5000
C: 0.5000 0.0000 0.0000
Mn: 0.5000 0.5000 0.5000
Pt: 0.0000 0.0000 0.0000

- symmetry = No. 221
- D(E_F) (states/eV/f.u.) = 9.601
- crystal system = cubic

***

Most stable structure, least stable structure: <w>, <x>.

***

<w>
Compound: Mn3PtC
Source: the Alexandria database
Functional: PBE-GGA
Structure: relaxed

Lattice parameters (Å, degrees): 4.8766 4.8766 4.8766 90.00 90.00 90.00
Positions (direct):
C: 0.5000 0.5000 0.5000
Mn: 0.0000 0.5000 0.0000
Mn: 0.0000 0.0000 0.5000
Mn: 0.5000 0.0000 0.0000
Pt: 0.0000 0.0000 0.0000

- symmetry = No. 221
- D(E_F) (states/eV/f.u.) = 3.304
- crystal system = cubic

***

<x>
Compound: Mn3PtC
Source: the Alexandria database
Functional: PBE-GGA
Structure: relaxed

Lattice parameters (Å, degrees): 3.9296 3.9296 3.9296 90.00 90.00 90.00
Positions (direct):
C: 0.0000 0.0000 0.0000
Mn: 0.0000 0.5000 0.0000
Mn: 0.0000 0.0000 0.5000
Mn: 0.5000 0.0000 0.0000
Pt: 0.5000 0.5000 0.5000

- symmetry = No. 221
- D(E_F) (states/eV/f.u.) = 2.832
- crystal system = cubic

***

Most stable structure, least stable structure: <x>, <w>.